First-principles (PBE) data for an optimized crystal structure of YAlTc2Te, as listed in Alexandria via LeMat-Bulk.

DFT total energy: -5.11 eV/atom
Total moment: 1.193 μB per atom

Lattice parameters (Å, degrees): 5.159 5.712 5.159 90.00 90.00 90.00
Each line ends with the local moment (μB).
Atoms (fractional coordinates):
Tc: 0.000 0.000 0.500  2.22
Tc: 0.500 0.000 0.000  2.83
Te: 0.000 0.500 0.000  0.15
Y: 0.000 0.000 0.000  -0.13
Al: 0.500 0.500 0.500  0.04



First-principles (PBE) data for an optimized crystal structure of Th2Al3Tc2, as listed in Alexandria via LeMat-Bulk.

DFT total energy: -7.09 eV/atom
Total moment: 0.000 μB per atom
Formation energy: -0.4089 eV per atom

Lattice parameters (Å, degrees): 4.172 5.462 7.383 111.37 90.00 112.45
Atoms (fractional coordinates):
Al: 0.500 0.000 0.000
Al: 0.359 0.718 0.561
Al: 0.641 0.282 0.439
Th: 0.142 0.284 0.768
Th: 0.858 0.716 0.232
Tc: 0.869 0.737 0.796
Tc: 0.131 0.263 0.204



First-principles (PBE) data for an optimized crystal structure of ThAlTc, as listed in Alexandria via LeMat-Bulk.

Excess energy over the best structure of this formula in the dataset: 0.71 eV/f.u.
DFT total energy: -7.36 eV/atom
Total moment: 0.000 μB per atom
Formation energy: -0.1834 eV per atom

Lattice parameters (Å, degrees): 3.333 3.333 6.073 105.93 105.93 90.00
Atoms (fractional coordinates):
Al: 0.294 0.294 0.589
Tc: 0.688 0.688 0.375
Th: 0.018 0.018 0.036



First-principles (PBE) data for an optimized crystal structure of ThAl11Tc, as listed in Alexandria via LeMat-Bulk.

DFT total energy: -4.79 eV/atom
Total moment: 0.000 μB per atom
Formation energy: -0.2523 eV per atom

Lattice parameters (Å, degrees): 5.283 7.151 6.906 81.91 67.51 68.41
Atoms (fractional coordinates):
Al: 0.500 0.776 0.217
Al: 0.500 0.000 0.500
Al: 0.283 0.224 0.217
Al: 0.981 0.360 0.653
Al: 0.367 0.640 0.653
Al: 0.633 0.360 0.347
Al: 0.717 0.776 0.783
Al: 0.000 0.000 0.500
Al: 0.500 0.224 0.783
Al: 0.019 0.640 0.347
Al: 0.000 0.500 0.000
Th: 0.000 0.000 0.000
Tc: 0.500 0.500 0.000



First-principles (PBE) data for an optimized crystal structure of Th2Al6Tc, as listed in Alexandria via LeMat-Bulk.

DFT total energy: -5.66 eV/atom
Total moment: 0.000 μB per atom
Formation energy: -0.3668 eV per atom

Lattice parameters (Å, degrees): 5.779 6.012 6.012 60.00 90.01 90.01
Atoms (fractional coordinates):
Al: 0.681 0.173 0.655
Al: 0.319 0.827 0.827
Al: 0.681 0.173 0.173
Al: 0.681 0.655 0.173
Al: 0.319 0.345 0.827
Al: 0.319 0.827 0.345
Th: 0.168 0.333 0.333
Th: 0.832 0.667 0.667
Tc: 0.000 0.000 0.000



First-principles (PBE) data for an optimized crystal structure of ThAl4Tc, as listed in Alexandria via LeMat-Bulk.

DFT total energy: -5.90 eV/atom
Total moment: 0.000 μB per atom
Formation energy: -0.4379 eV per atom

Lattice parameters (Å, degrees): 4.243 7.016 7.745 90.00 90.00 90.00
Atoms (fractional coordinates):
Al: 0.500 0.032 0.250
Al: 0.500 0.691 0.067
Al: 0.500 0.309 0.933
Al: 0.500 0.309 0.567
Al: 0.500 0.691 0.433
Al: 0.000 0.000 0.000
Al: 0.000 0.000 0.500
Al: 0.500 0.968 0.750
Th: 0.000 0.373 0.250
Th: 0.000 0.627 0.750
Tc: 0.000 0.791 0.250
Tc: 0.000 0.209 0.750



- Among the records above, which one has the highest total moment?
  YAlTc2Te



Please write out number 5 again, unchanged.
First-principles (PBE) data for an optimized crystal structure of Th2Al6Tc, as listed in Alexandria via LeMat-Bulk.

DFT total energy: -5.66 eV/atom
Total moment: 0.000 μB per atom
Formation energy: -0.3668 eV per atom

Lattice parameters (Å, degrees): 5.779 6.012 6.012 60.00 90.01 90.01
Atoms (fractional coordinates):
Al: 0.681 0.173 0.655
Al: 0.319 0.827 0.827
Al: 0.681 0.173 0.173
Al: 0.681 0.655 0.173
Al: 0.319 0.345 0.827
Al: 0.319 0.827 0.345
Th: 0.168 0.333 0.333
Th: 0.832 0.667 0.667
Tc: 0.000 0.000 0.000



- The highest DFT total energy belongs to which entry?
  ThAl11Tc



- total moment of number 2 (Th2Al3Tc2)?
  0.000 μB per atom